No. 1
Crystalline TlRe3S4Cl2 at its relaxed geometry. Source: Alexandria, functional GGA-PBEsol.

Lattice parameters (Å, degrees): 6.3166 8.7564 16.3221 95.18 92.87 96.47
With the nearest neighbours (Å) after each atom.
Sites, in units of the cell vectors:
Tl: 0.0383 0.4930 0.3340  4 Cl 3.04-3.39, 3 S 3.26-3.34
Tl: 0.4538 0.0040 0.1488  3 Cl 2.99-3.23, 2 S 3.32
Tl: 0.5462 0.9960 0.8512  3 Cl 2.99-3.23, 2 S 3.32
Tl: 0.9617 0.5070 0.6660  4 Cl 3.04-3.39, 3 S 3.26-3.34
Re: 0.0374 0.3315 0.9273  1 Cl 2.38, 4 S 2.39-2.42, 4 Re 2.60-2.64
Re: 0.0709 0.3947 0.0887  1 Cl 2.38, 4 S 2.40-2.41, 4 Re 2.60-2.64
Re: 0.2197 0.9745 0.4610  5 S 2.39-2.49, 4 Re 2.60-2.61
Re: 0.2804 0.5749 0.9948  5 S 2.39-2.51, 4 Re 2.60
Re: 0.4238 0.9061 0.5928  1 Cl 2.38, 4 S 2.39-2.42, 4 Re 2.60-2.63
Re: 0.4637 0.1914 0.5519  1 Cl 2.38, 4 S 2.39-2.41, 4 Re 2.60-2.63
Re: 0.5363 0.8086 0.4481  1 Cl 2.38, 4 S 2.39-2.41, 4 Re 2.60-2.63
Re: 0.5762 0.0939 0.4072  1 Cl 2.38, 4 S 2.39-2.42, 4 Re 2.60-2.63
Re: 0.7196 0.4251 0.0052  5 S 2.39-2.51, 4 Re 2.60
Re: 0.7803 0.0255 0.5390  5 S 2.39-2.49, 4 Re 2.60-2.61
Re: 0.9291 0.6053 0.9113  1 Cl 2.38, 4 S 2.40-2.41, 4 Re 2.60-2.64
Re: 0.9626 0.6685 0.0727  1 Cl 2.38, 4 S 2.39-2.42, 4 Re 2.60-2.64
S: 0.1456 0.0702 0.6039  4 Re 2.39-2.49
S: 0.1626 0.8210 0.9794  3 Re 2.39-2.42
S: 0.2033 0.7165 0.5012  3 Re 2.40
S: 0.2302 0.5116 0.8482  3 Re 2.39-2.40
S: 0.2769 0.2349 0.4264  3 Re 2.39-2.40
S: 0.2913 0.6282 0.1418  3 Re 2.39-2.41
S: 0.3427 0.8861 0.3309  3 Re 2.39-2.42
S: 0.3508 0.3025 0.0110  4 Re 2.40-2.51
S: 0.6492 0.6975 0.9890  4 Re 2.40-2.51
S: 0.6573 0.1139 0.6691  3 Re 2.39-2.42
S: 0.7087 0.3718 0.8582  3 Re 2.39-2.41
S: 0.7231 0.7651 0.5736  3 Re 2.39-2.40
S: 0.7698 0.4884 0.1518  3 Re 2.39-2.40
S: 0.7967 0.2835 0.4988  3 Re 2.40
S: 0.8374 0.1790 0.0206  3 Re 2.39-2.42
S: 0.8544 0.9298 0.3961  4 Re 2.39-2.49
Cl: 0.0831 0.1162 0.8326  1 Re 2.38
Cl: 0.1726 0.2611 0.2026  1 Re 2.38
Cl: 0.3184 0.7856 0.7119  1 Re 2.38
Cl: 0.4279 0.4365 0.6215  1 Re 2.38
Cl: 0.5721 0.5635 0.3785  1 Re 2.38
Cl: 0.6816 0.2144 0.2881  1 Re 2.38
Cl: 0.8274 0.7389 0.7974  1 Re 2.38
Cl: 0.9169 0.8838 0.1674  1 Re 2.38

Results
Its density of states at the Fermi level is 0.0000 states/eV per atom. The value obtained for the formation energy without anion corrections is -0.708 eV/atom. The calculation puts the total energy at -285.0 eV per cell.

***

No. 2
Crystalline TlReS2Cl at its relaxed geometry. Source: Alexandria, functional GGA-PBEsol.

Lattice parameters (Å, degrees): 4.5572 4.5572 5.1345 90.00 90.00 90.00
With the nearest neighbours (Å) after each atom.
Sites, in units of the cell vectors:
Tl: 0.0000 0.0000 0.0000  4 Cl 3.22, 8 S 3.43
Re: 0.5000 0.5000 0.5000  4 S 2.28
S: 0.0000 0.5000 0.5000  2 Re 2.28
S: 0.5000 0.0000 0.5000  2 Re 2.28
Cl: 0.5000 0.5000 0.0000  2 Re 2.57

Results
Its density of states at the Fermi level is 0.4647 states/eV per atom. The value obtained for the formation energy without anion corrections is -0.155 eV/atom. The calculation puts the total energy at -27.5 eV per cell.

***

No. 3
Crystalline ReWS2Cl at its relaxed geometry. Source: Alexandria, functional GGA-PBEsol.

Lattice parameters (Å, degrees): 4.6352 4.6352 4.7670 90.00 90.00 90.00
With the nearest neighbours (Å) after each atom.
Sites, in units of the cell vectors:
Re: 0.0000 0.0000 0.0000  4 Cl 3.28, 8 S 3.32
W: 0.5000 0.5000 0.5000  4 S 2.32, 2 Cl 2.38
S: 0.0000 0.5000 0.5000  2 W 2.32
S: 0.5000 0.0000 0.5000  2 W 2.32
Cl: 0.5000 0.5000 0.0000  2 W 2.38

Results
Its density of states at the Fermi level is 0.6955 states/eV per atom. The value obtained for the formation energy without anion corrections is 1.179 eV/atom. The calculation puts the total energy at -32.0 eV per cell.

***

No. 4
Crystalline ZnReSCl2 at its relaxed geometry. Source: Alexandria, functional GGA-PBEsol.

Lattice parameters (Å, degrees): 4.4990 4.4990 5.1159 90.00 90.00 90.00
With the nearest neighbours (Å) after each atom.
Sites, in units of the cell vectors:
Zn: 0.0000 0.0000 0.0000  4 Cl 2.25
Re: 0.5000 0.5000 0.5000  4 S 3.18, 8 Cl 3.41
S: 0.0000 0.0000 0.5000  2 Zn 2.56
Cl: 0.0000 0.5000 0.0000  2 Zn 2.25
Cl: 0.5000 0.0000 0.0000  2 Zn 2.25

Results
Its density of states at the Fermi level is 0.1536 states/eV per atom. The value obtained for the formation energy without anion corrections is 0.812 eV/atom. The calculation puts the total energy at -19.3 eV per cell.

***

No. 5
Crystalline ZnReS2Cl at its relaxed geometry. Source: Alexandria, functional GGA-PBEsol.

Lattice parameters (Å, degrees): 4.6585 4.6585 4.4604 90.00 90.00 90.00
With the nearest neighbours (Å) after each atom.
Sites, in units of the cell vectors:
Zn: 0.0000 0.0000 0.0000  2 Cl 2.23, 4 S 2.33
Re: 0.5000 0.5000 0.5000  8 S 3.22, 4 Cl 3.29
S: 0.0000 0.5000 0.0000  2 Zn 2.33
S: 0.5000 0.0000 0.0000  2 Zn 2.33
Cl: 0.0000 0.0000 0.5000  2 Zn 2.23

Results
Its density of states at the Fermi level is 0.4722 states/eV per atom. The value obtained for the formation energy without anion corrections is 1.092 eV/atom. The calculation puts the total energy at -20.2 eV per cell.

***

No. 6
Crystalline Re2SbCl at its relaxed geometry. Source: Alexandria, functional GGA-PBEsol.

Lattice parameters (Å, degrees): 4.4255 4.4255 4.4255 111.86 111.86 104.80
With the nearest neighbours (Å) after each atom.
Sites, in units of the cell vectors:
Re: 0.0000 0.0000 0.0000  2 Sb 2.70, 4 Cl 2.82, 4 Re 2.82
Re: 0.7500 0.2500 0.5000  2 Cl 2.70, 4 Sb 2.82, 4 Re 2.82
Sb: 0.5000 0.5000 0.0000  6 Re 2.70-2.82, 4 Cl 2.82
Cl: 0.2500 0.7500 0.5000  6 Re 2.70-2.82, 4 Sb 2.82

Results
Its density of states at the Fermi level is 0.6949 states/eV per atom. The value obtained for the formation energy without anion corrections is 0.966 eV/atom. The calculation puts the total energy at -29.4 eV per cell.